No. 1
A plane-wave DFT calculation with PBE-GGA was carried out for a relaxed structure of Na2AgAsF6.

Summary:
relative energy among the computed polymorphs = 0 meV per atom
volume = 15.2 Å³ per atom

Lattice parameters (Å, degrees): 5.916 5.915 6.071 60.79 60.78 59.96
Atoms (fractional coordinates):
F 0.940 0.600 0.231
F 0.148 0.400 0.789
F 0.600 0.229 0.232
F 0.664 0.148 0.788
F 0.228 0.940 0.232
F 0.400 0.664 0.789
As 0.319 0.319 0.042
Na 0.018 0.018 0.945
Na 0.535 0.535 0.396
Ag 0.809 0.809 0.572

***

No. 2
A plane-wave DFT calculation with PBE-GGA was carried out for a relaxed structure of NaAg2AsF6.

Summary:
total DFT energy (no corrections) = -4.067 eV/atom
volume = 15.2 Å³ per atom

Lattice parameters (Å, degrees): 6.031 6.032 5.974 59.52 59.41 59.80
Atoms (fractional coordinates):
F 0.639 0.119 0.800
F 0.186 0.962 0.259
F 0.117 0.446 0.803
F 0.443 0.636 0.805
F 0.964 0.586 0.264
F 0.586 0.185 0.265
Ag 0.559 0.558 0.324
Ag 0.039 0.041 0.883
Na 0.812 0.813 0.563
As 0.316 0.316 0.051

***

No. 3
A plane-wave DFT calculation with PBE-GGA was carried out for a relaxed structure of AgAsO2F.

Summary:
total DFT energy (no corrections) = -4.633 eV/atom
volume = 12.6 Å³ per atom

Lattice parameters (Å, degrees): 3.852 3.852 4.255 90.00 90.00 90.00
Atoms (fractional coordinates):
O 0.500 0.000 0.000
O 0.000 0.500 0.000
F 0.000 0.000 0.500
As 0.000 0.000 0.000
Ag 0.500 0.500 0.500

***

No. 4
A plane-wave DFT calculation with PBE-GGA was carried out for a relaxed structure of AgAsO2F.

Summary:
total DFT energy (no corrections) = -3.685 eV/atom
volume = 14.0 Å³ per atom

Lattice parameters (Å, degrees): 4.136 4.136 4.105 90.00 90.00 90.00
Atoms (fractional coordinates):
O 0.500 0.000 0.000
O 0.000 0.500 0.000
Ag 0.000 0.000 0.000
As 0.500 0.500 0.500
F 0.000 0.000 0.500